Crystalline Cs2SnBrCl5 at its relaxed geometry. Source: Alexandria via LeMat-Bulk, functional PBE-GGA.

Results
Formation energy from raw total energies in eV/atom: -1.47
Energy in eV/atom: -3.321
Spin magnetization in Bohr magnetons per cell: 0.00

Cell: 7.6286 7.6286 7.6286 Å, 91.10 119.37 119.37°
Atoms (fractional coordinates):
Cl1 0.0000 0.2332 0.2332
Sn1 0.0000 0.0019 0.0019
Cs1 0.5000 0.2515 0.7515
Cs2 0.5000 0.7515 0.2515
Cl2 0.0000 0.7738 0.2299
Cl3 0.4561 0.2299 0.2299
Cl4 0.0000 0.2299 0.7738
Cl5 0.5439 0.7738 0.7738
Br1 0.0000 0.7547 0.7547